1.
This record from Alexandria describes a relaxed structure of Ce3As2H2. The functional is GGA-PBE.

Structure (extended XYZ):
```
14
Lattice="13.4177 0.0000 0.0000 0.0000 4.0821 0.0000 -1.9287 0.0000 5.6283" Properties=species:S:1:pos:R:3 pbc="T T T"
Ce 0.0000 0.0000 0.0000
Ce 0.9040 2.0411 3.8821
Ce 3.8761 0.0000 1.7462
Ce 6.7088 2.0411 0.0000
Ce 7.6128 0.0000 3.8821
Ce 10.5850 2.0411 1.7462
As 1.8362 2.0411 1.0740
As 2.9439 0.0000 4.5542
As 8.5450 0.0000 1.0740
As 9.6528 2.0411 4.5542
H -0.2606 0.0000 3.9998
H 5.0407 2.0411 1.6285
H 6.4483 2.0411 3.9998
H 11.7495 0.0000 1.6285
```

The energy above the most stable polymorph in this dataset is 0.000 eV per atom.



2.
This record from Alexandria describes a relaxed structure of Ce4As3H4. The functional is GGA-PBE.

Structure (extended XYZ):
```
11
Lattice="-2.0159 3.5397 6.7936 2.0159 -3.5397 6.7936 2.0159 3.5397 -6.7936" Properties=species:S:1:pos:R:3 pbc="T T T"
Ce 0.0000 0.0000 2.9896
Ce 2.0159 1.9942 0.0000
Ce 0.0000 1.5455 6.7936
Ce 0.0000 0.0000 10.5976
As 0.0000 0.0000 0.0000
As 2.0159 0.0000 5.1156
As 0.0000 3.5397 1.6780
H 2.0159 1.3460 -2.4142
H 2.0159 1.3460 2.4142
H 0.0000 2.1937 4.3794
H 0.0000 2.1937 9.2078
```

For the total energy, the calculation gives -5.5546 eV per atom.



3.
This record from Alexandria describes a relaxed structure of Ce2As2H3. The functional is GGA-PBE.

Structure (extended XYZ):
```
14
Lattice="10.7618 0.0000 0.0000 0.0000 3.8932 0.0000 -2.7137 0.0000 5.4223" Properties=species:S:1:pos:R:3 pbc="T T T"
Ce 1.1010 0.0000 1.1938
Ce 1.5663 1.9466 4.2285
Ce 6.4819 1.9466 1.1938
Ce 6.9472 0.0000 4.2285
As -0.7283 0.0000 3.7894
As 3.3955 1.9466 1.6330
As 4.6526 1.9466 3.7894
As 8.7764 0.0000 1.6330
H 0.0000 1.9466 0.0000
H 0.6814 1.9466 2.2443
H 1.9858 0.0000 3.1781
H 5.3809 0.0000 0.0000
H 6.0623 0.0000 2.2443
H 7.3667 1.9466 3.1781
```

For the total energy, the calculation gives -5.0073 eV per atom.



4.
This record from Alexandria describes a relaxed structure of Ce4As2H. The functional is GGA-PBE.

Structure (extended XYZ):
```
14
Lattice="4.3841 0.0000 0.0000 0.0000 4.3841 0.0000 0.0000 0.0000 16.3174" Properties=species:S:1:pos:R:3 pbc="T T T"
Ce 0.0000 0.0000 2.8483
Ce 0.0000 0.0000 13.4690
Ce 0.0000 2.1921 0.0000
Ce 0.0000 2.1921 8.1587
Ce 2.1921 0.0000 0.0000
Ce 2.1921 0.0000 8.1587
Ce 2.1921 2.1921 5.3104
Ce 2.1921 2.1921 11.0070
As 0.0000 0.0000 5.9081
As 0.0000 0.0000 10.4092
As 2.1921 2.1921 2.2505
As 2.1921 2.1921 14.0668
H 0.0000 0.0000 0.0000
H 2.1921 2.1921 8.1587
```

For the total energy, the calculation gives -6.0456 eV per atom.



5.
This record from Alexandria describes a relaxed structure of Ce2AsH. The functional is GGA-PBE.

Structure (extended XYZ):
```
16
Lattice="5.8912 0.0000 0.0000 0.0000 5.8914 0.0000 -5.7733 0.0000 10.4967" Properties=species:S:1:pos:R:3 pbc="T T T"
Ce 0.0052 1.4180 1.0587
Ce -2.8815 4.4734 6.3070
Ce -2.9097 1.4420 8.9312
Ce -0.0231 4.4494 3.6828
Ce 0.1409 1.4420 6.8139
Ce 3.0276 4.4494 1.5656
Ce 2.9993 1.4180 4.1897
Ce 0.1127 4.4734 9.4381
As 0.0509 1.5076 3.9363
As -2.8357 4.3838 9.1847
As 2.9536 1.5076 1.3120
As 0.0669 4.3838 6.5604
H -3.4300 0.9030 6.5621
H -0.5434 4.9884 1.3137
H 0.6612 0.9030 9.1830
H 3.5479 4.9884 3.9346
```

The energy above the most stable polymorph in this dataset is 0.000 eV per atom.



6.
This record from Alexandria describes a relaxed structure of CeAs2H. The functional is GGA-PBE.

Structure (extended XYZ):
```
12
Lattice="4.5239 0.0000 0.0000 -2.2620 3.9178 0.0000 0.0000 0.0000 18.3287" Properties=species:S:1:pos:R:3 pbc="T T T"
Ce 0.0000 0.0000 0.0000
Ce 0.0000 2.6119 12.2191
Ce 2.2620 1.3059 6.1095
As 0.0000 0.0000 7.4147
As 0.0000 0.0000 10.9140
As 0.0000 2.6119 1.3051
As 0.0000 2.6119 4.8044
As 2.2620 1.3059 13.5243
As 2.2620 1.3059 17.0235
H 0.0000 0.0000 9.1643
H 0.0000 2.6119 3.0548
H 2.2620 1.3059 15.2739
```

For the total energy, the calculation gives -4.8894 eV per atom.



7.
This record from Alexandria describes a relaxed structure of CeAsHIr. The functional is GGA-PBE.

Structure (extended XYZ):
```
8
Lattice="4.1242 0.0000 0.0000 -2.0621 3.5717 0.0000 0.0000 0.0000 9.4299" Properties=species:S:1:pos:R:3 pbc="T T T"
Ce 0.0000 2.3811 0.0000
Ce 2.0621 1.1906 4.7149
As 0.0000 2.3811 6.4683
As 2.0621 1.1906 1.7534
H 0.0000 0.0000 4.0875
H 0.0000 0.0000 8.8024
Ir 0.0000 0.0000 2.3801
Ir 0.0000 0.0000 7.0951
```

For the total energy, the calculation gives -6.3845 eV per atom.



8.
This record from Alexandria describes a relaxed structure of Ce2As2H4Ir. The functional is GGA-PBE.

Structure (extended XYZ):
```
9
Lattice="-2.8417 2.8417 4.1843 2.8417 -2.8417 4.1843 2.8417 2.8417 -4.1843" Properties=species:S:1:pos:R:3 pbc="T T T"
Ce 2.8417 0.0000 2.0921
Ce 0.0000 2.8417 2.0921
As 0.0000 0.0000 1.6318
As 0.0000 0.0000 6.7367
H 1.6398 1.6398 0.0000
H 1.2019 -1.2019 4.1843
H -1.2019 1.2019 4.1843
H 1.2019 1.2019 4.1843
Ir 0.0000 0.0000 4.1843
```

For the total energy, the calculation gives -5.4309 eV per atom.



9.
This record from Alexandria describes a relaxed structure of Ce2MnAs2H4. The functional is GGA-PBE.

Structure (extended XYZ):
```
9
Lattice="-2.8550 2.8550 4.0220 2.8550 -2.8550 4.0220 2.8550 2.8550 -4.0220" Properties=species:S:1:pos:R:3 pbc="T T T"
Ce 2.8550 0.0000 2.0110
Ce 0.0000 2.8550 2.0110
Mn 0.0000 0.0000 0.0000
As 0.0000 0.0000 2.4099
As 0.0000 0.0000 5.6341
H 1.1864 1.1864 0.0000
H 1.6686 -1.6686 4.0220
H -1.6686 1.6686 4.0220
H 1.6686 1.6686 4.0220
```

For the total energy, the calculation gives -5.2901 eV per atom.



10.
This record from Alexandria describes a relaxed structure of CeNiAsH2. The functional is GGA-PBE.

Structure (extended XYZ):
```
10
Lattice="1.9640 -5.1485 0.0000 1.9640 5.1485 0.0000 0.0000 0.0000 6.1492" Properties=species:S:1:pos:R:3 pbc="T T T"
Ce 1.9640 2.9515 4.6119
Ce 1.9640 -2.9515 1.5373
Ni 1.9640 0.0000 0.0000
Ni 1.9640 0.0000 3.0746
As 1.9640 4.4690 1.5373
As 1.9640 -4.4690 4.6119
H 1.9640 1.5930 0.3851
H 1.9640 1.5930 2.6895
H 1.9640 -1.5930 3.4597
H 1.9640 -1.5930 5.7641
```

For the total energy, the calculation gives -5.2333 eV per atom.



11.
This record from Alexandria describes a relaxed structure of Ce2As2H4Os. The functional is GGA-PBE.

Structure (extended XYZ):
```
9
Lattice="-2.8284 2.8284 4.1196 2.8284 -2.8284 4.1196 2.8284 2.8284 -4.1196" Properties=species:S:1:pos:R:3 pbc="T T T"
Ce 2.8284 0.0000 2.0598
Ce 0.0000 2.8284 2.0598
As 0.0000 0.0000 1.6007
As 0.0000 0.0000 6.6384
H 1.6033 1.6033 0.0000
H 1.2251 -1.2251 4.1196
H -1.2251 1.2251 4.1196
H 1.2251 1.2251 4.1196
Os 0.0000 0.0000 4.1196
```

For the total energy, the calculation gives -5.5907 eV per atom.



12.
This record from Alexandria describes a relaxed structure of CeAsHPd. The functional is GGA-PBE.

Structure (extended XYZ):
```
4
Lattice="4.3583 0.0000 0.0000 -2.1791 3.7744 0.0000 0.0000 0.0000 3.9534" Properties=species:S:1:pos:R:3 pbc="T T T"
Ce 0.0000 0.0000 0.0000
As 0.0000 2.5162 1.9767
H 2.1791 1.2581 0.0000
Pd 2.1791 1.2581 1.9767
```

For the total energy, the calculation gives -5.6932 eV per atom.



13.
This record from Alexandria describes a relaxed structure of CeAsH2Pd2. The functional is GGA-PBE.

Structure (extended XYZ):
```
12
Lattice="2.9266 -5.2485 0.0000 2.9266 5.2485 0.0000 0.0000 0.0000 5.6094" Properties=species:S:1:pos:R:3 pbc="T T T"
Ce 2.9266 2.7880 4.2070
Ce 2.9266 -2.7880 1.4023
As 2.9266 1.7332 1.4023
As 2.9266 -1.7332 4.2070
H 1.1986 1.0352 4.2070
H 1.1986 -1.0352 1.4023
H 4.6546 1.0352 4.2070
H 4.6546 -1.0352 1.4023
Pd 1.4296 0.0000 0.0000
Pd 1.4296 0.0000 2.8047
Pd 4.4236 0.0000 0.0000
Pd 4.4236 0.0000 2.8047
```

For the total energy, the calculation gives -5.1736 eV per atom.



14.
This record from Alexandria describes a relaxed structure of CeAsH2Pd. The functional is GGA-PBE.

Structure (extended XYZ):
```
10
Lattice="2.0261 -5.1860 0.0000 2.0261 5.1860 0.0000 0.0000 0.0000 6.5211" Properties=species:S:1:pos:R:3 pbc="T T T"
Ce 2.0261 2.9540 4.8908
Ce 2.0261 -2.9540 1.6303
As 2.0261 4.4940 1.6303
As 2.0261 -4.4940 4.8908
H 2.0261 1.7510 0.4266
H 2.0261 1.7510 2.8339
H 2.0261 -1.7510 3.6872
H 2.0261 -1.7510 6.0944
Pd 2.0261 0.0000 0.0000
Pd 2.0261 0.0000 3.2605
```

For the total energy, the calculation gives -5.1549 eV per atom.



15.
This record from Alexandria describes a relaxed structure of CeAsH2Pt2. The functional is GGA-PBE.

Structure (extended XYZ):
```
12
Lattice="3.5970 -4.5781 0.0000 3.5970 4.5781 0.0000 0.0000 0.0000 5.5081" Properties=species:S:1:pos:R:3 pbc="T T T"
Ce 3.5970 2.7069 4.1311
Ce 3.5970 -2.7069 1.3770
As 3.5970 1.6893 1.3770
As 3.5970 -1.6893 4.1311
H 1.1579 0.5807 4.1311
H 1.1579 -0.5807 1.3770
H 6.0361 0.5807 4.1311
H 6.0361 -0.5807 1.3770
Pt 2.1193 0.0000 0.0000
Pt 2.1193 0.0000 2.7541
Pt 5.0747 0.0000 0.0000
Pt 5.0747 0.0000 2.7541
```

For the total energy, the calculation gives -5.4560 eV per atom.



16.
This record from Alexandria describes a relaxed structure of CeAsHRh. The functional is GGA-PBE.

Structure (extended XYZ):
```
8
Lattice="4.1014 0.0000 0.0000 0.0000 4.1014 0.0000 0.0000 0.0000 7.2644" Properties=species:S:1:pos:R:3 pbc="T T T"
Ce 1.0254 1.0254 1.1703
Ce 3.0761 3.0761 6.0941
As 1.0254 1.0254 5.1486
As 3.0761 3.0761 2.1158
H 1.0254 3.0761 0.0000
H 3.0761 1.0254 0.0000
Rh 1.0254 3.0761 3.6322
Rh 3.0761 1.0254 3.6322
```

For the total energy, the calculation gives -6.2158 eV per atom.



17.
This record from Alexandria describes a relaxed structure of CeAsHRh3. The functional is GGA-PBE.

Structure (extended XYZ):
```
12
Lattice="2.8473 -5.6693 0.0000 2.8473 5.6693 0.0000 0.0000 0.0000 5.6964" Properties=species:S:1:pos:R:3 pbc="T T T"
Ce 2.8473 2.9278 4.2723
Ce 2.8473 -2.9278 1.4241
As 2.8473 4.3462 1.4241
As 2.8473 -4.3462 4.2723
H 2.8473 0.0103 1.4241
H 2.8473 -0.0103 4.2723
Rh 1.4700 0.0000 0.0000
Rh 1.4700 0.0000 2.8482
Rh 2.8473 1.9998 1.4241
Rh 2.8473 -1.9998 4.2723
Rh 4.2247 0.0000 0.0000
Rh 4.2247 0.0000 2.8482
```

For the total energy, the calculation gives -6.6680 eV per atom.



18.
This record from Alexandria describes a relaxed structure of Ce2AsHRh6. The functional is GGA-PBE.

Structure (extended XYZ):
```
10
Lattice="4.5063 0.0000 0.0000 0.0000 4.5063 0.0000 0.0000 0.0000 8.2045" Properties=species:S:1:pos:R:3 pbc="T T T"
Ce 0.0000 0.0000 1.8977
Ce 0.0000 0.0000 6.3068
As 2.2531 2.2531 4.1022
H 2.2531 2.2531 0.0000
Rh 0.0000 2.2531 0.0000
Rh 0.0000 2.2531 4.1022
Rh 2.2531 0.0000 0.0000
Rh 2.2531 0.0000 4.1022
Rh 2.2531 2.2531 1.7542
Rh 2.2531 2.2531 6.4503
```

For the total energy, the calculation gives -6.8584 eV per atom.



19.
This record from Alexandria describes a relaxed structure of CeAsHRu. The functional is GGA-PBE.

Structure (extended XYZ):
```
8
Lattice="4.1559 0.0000 0.0000 0.0000 4.1559 0.0000 0.0000 0.0000 7.2654" Properties=species:S:1:pos:R:3 pbc="T T T"
Ce 1.0390 1.0390 1.2352
Ce 3.1169 3.1169 6.0302
As 1.0390 1.0390 4.9969
As 3.1169 3.1169 2.2684
H 1.0390 3.1169 0.0000
H 3.1169 1.0390 0.0000
Ru 1.0390 3.1169 3.6327
Ru 3.1169 1.0390 3.6327
```

For the total energy, the calculation gives -6.5897 eV per atom.



20.
This record from Alexandria describes a relaxed structure of CeAsH2Ru2. The functional is GGA-PBE.

Structure (extended XYZ):
```
12
Lattice="2.8987 -4.9352 0.0000 2.8987 4.9352 0.0000 0.0000 0.0000 5.7699" Properties=species:S:1:pos:R:3 pbc="T T T"
Ce 2.8987 2.6302 4.3274
Ce 2.8987 -2.6302 1.4425
As 2.8987 3.6741 1.4425
As 2.8987 -3.6741 4.3274
H 1.9282 0.9951 1.4425
H 1.9282 -0.9951 4.3274
H 3.8691 0.9951 1.4425
H 3.8691 -0.9951 4.3274
Ru 1.6218 0.0000 0.0000
Ru 1.6218 0.0000 2.8849
Ru 4.1755 0.0000 0.0000
Ru 4.1755 0.0000 2.8849
```

For the total energy, the calculation gives -6.3589 eV per atom.



21.
This record from Alexandria describes a relaxed structure of Ce2TcAs2H4. The functional is GGA-PBE.

Structure (extended XYZ):
```
9
Lattice="-2.8493 2.8493 4.0545 2.8493 -2.8493 4.0545 2.8493 2.8493 -4.0545" Properties=species:S:1:pos:R:3 pbc="T T T"
Ce 2.8493 0.0000 2.0272
Ce 0.0000 2.8493 2.0272
Tc 0.0000 0.0000 0.0000
As 0.0000 0.0000 2.4925
As 0.0000 0.0000 5.6165
H 1.2595 1.2595 0.0000
H 1.5898 -1.5898 4.0545
H -1.5898 1.5898 4.0545
H 1.5898 1.5898 4.0545
```

For the total energy, the calculation gives -5.4307 eV per atom.



22.
This record from Alexandria describes a relaxed structure of CeHfAs2. The functional is GGA-PBE.

Structure (extended XYZ):
```
12
Lattice="4.0012 0.0000 0.0000 -2.0006 3.4651 0.0000 0.0000 0.0000 19.7097" Properties=species:S:1:pos:R:3 pbc="T T T"
Ce 0.0000 0.0000 0.0000
Ce 0.0000 2.3101 13.1398
Ce 2.0006 1.1550 6.5699
Hf 0.0000 0.0000 9.8549
Hf 0.0000 2.3101 3.2850
Hf 2.0006 1.1550 16.4248
As 0.0000 0.0000 4.7717
As 0.0000 0.0000 14.9381
As 0.0000 2.3101 8.3682
As 0.0000 2.3101 17.9115
As 2.0006 1.1550 1.7983
As 2.0006 1.1550 11.3416
```

The energy above the most stable polymorph in this dataset is 0.000 eV per atom. The calculated formation energy comes out at -1236 meV per atom.



23.
This record from Alexandria describes a relaxed structure of Ce4HfAs6. The functional is GGA-PBE.

Structure (extended XYZ):
```
22
Lattice="5.6981 3.2898 4.7631 -5.6981 3.2898 4.7631 0.0000 -6.5796 4.7631" Properties=species:S:1:pos:R:3 pbc="T T T"
Ce -3.5389 0.4500 5.9539
Ce 0.0000 0.0000 3.5723
Ce -2.1592 -2.8398 8.3355
Ce 1.3798 -3.2898 5.9539
Ce -1.3798 3.2898 8.3355
Ce 2.1592 2.8398 5.9539
Ce 0.0000 0.0000 10.7170
Ce 3.5389 -0.4500 8.3355
Hf 0.0000 0.0000 0.0000
Hf 0.0000 0.0000 7.1447
As -4.8571 -1.2813 7.9549
As -1.3189 -4.8470 6.3345
As -1.3189 -1.7326 5.5734
As -3.5382 3.5657 6.3345
As -0.8411 2.0085 5.5734
As -2.1600 0.2759 8.7160
As 2.1600 -0.2759 5.5734
As 0.8411 -2.0085 8.7160
As 3.5382 -3.5657 7.9549
As 1.3189 1.7326 8.7160
As 1.3189 4.8470 7.9549
As 4.8570 1.2813 6.3345
```

The calculated formation energy comes out at -1221 meV per atom.